# 1
# GdSnTe3Au | OQMD | PBE-GGA | relaxed
data_GdSnTe3Au
_space_group_name_H-M_alt 'P 1'
_space_group_IT_number 1
_cell_length_a 14.568
_cell_length_b 4.302
_cell_length_c 11.636
_cell_angle_alpha 90.00
_cell_angle_beta 90.00
_cell_angle_gamma 90.00
loop_
_space_group_symop_operation_xyz
'x,y,z'
loop_
_atom_site_label
_atom_site_type_symbol
_atom_site_fract_x
_atom_site_fract_y
_atom_site_fract_z
Gd1 Gd 0.007 0.250 0.183
Gd2 Gd 0.493 0.750 0.683
Gd3 Gd 0.507 0.250 0.317
Gd4 Gd 0.993 0.750 0.817
Sn1 Sn 0.222 0.250 0.443
Sn2 Sn 0.278 0.750 0.943
Sn3 Sn 0.722 0.250 0.057
Sn4 Sn 0.778 0.750 0.557
Te1 Te 0.111 0.250 0.944
Te2 Te 0.126 0.750 0.615
Te3 Te 0.153 0.750 0.250
Te4 Te 0.347 0.250 0.750
Te5 Te 0.374 0.250 0.115
Te6 Te 0.389 0.750 0.444
Te7 Te 0.611 0.250 0.556
Te8 Te 0.626 0.750 0.885
Te9 Te 0.653 0.750 0.250
Te10 Te 0.847 0.250 0.750
Te11 Te 0.874 0.250 0.385
Te12 Te 0.889 0.750 0.056
Au1 Au 0.007 0.750 0.406
Au2 Au 0.493 0.250 0.906
Au3 Au 0.507 0.750 0.094
Au4 Au 0.993 0.250 0.594
# * energy above the most stable polymorph in this dataset: 0.041 eV/f.u.

---

# 2
The following is a PBE-GGA calculation of a relaxed structure of Np2Tl2S5, from OQMD.

```
data_Np2Tl2S5
_space_group_name_H-M_alt 'P 1'
_space_group_IT_number 1
_cell_length_a 8.765
_cell_length_b 8.765
_cell_length_c 7.516
_cell_angle_alpha 90.00
_cell_angle_beta 90.00
_cell_angle_gamma 50.76
loop_
_space_group_symop_operation_xyz
'x,y,z'
loop_
_atom_site_label
_atom_site_type_symbol
_atom_site_fract_x
_atom_site_fract_y
_atom_site_fract_z
Np1 Np 0.162 0.838 0.838
Np2 Np 0.338 0.662 0.338
Np3 Np 0.662 0.338 0.662
Np4 Np 0.838 0.162 0.162
Tl1 Tl 0.199 0.199 0.500
Tl2 Tl 0.301 0.301 0.000
Tl3 Tl 0.699 0.699 0.000
Tl4 Tl 0.801 0.801 0.500
S1 S 0.000 0.000 0.500
S2 S 0.038 0.747 0.145
S3 S 0.247 0.538 0.645
S4 S 0.253 0.962 0.145
S5 S 0.462 0.753 0.645
S6 S 0.500 0.500 0.000
S7 S 0.538 0.247 0.355
S8 S 0.747 0.038 0.855
S9 S 0.753 0.462 0.355
S10 S 0.962 0.253 0.855
```

---

# 3
The following is a PBE-GGA calculation of a relaxed structure of K2NpCl6, from OQMD.

```
data_K2NpCl6
_space_group_name_H-M_alt 'P 1'
_space_group_IT_number 1
_cell_length_a 6.891
_cell_length_b 6.891
_cell_length_c 13.469
_cell_angle_alpha 90.00
_cell_angle_beta 90.00
_cell_angle_gamma 90.00
loop_
_space_group_symop_operation_xyz
'x,y,z'
loop_
_atom_site_label
_atom_site_type_symbol
_atom_site_fract_x
_atom_site_fract_y
_atom_site_fract_z
K1 K 0.000 0.000 0.166
K2 K 0.000 0.000 0.834
K3 K 0.500 0.500 0.334
K4 K 0.500 0.500 0.666
Np1 Np 0.000 0.000 0.500
Np2 Np 0.500 0.500 0.000
Cl1 Cl 0.184 0.184 0.358
Cl2 Cl 0.184 0.184 0.642
Cl3 Cl 0.231 0.231 0.000
Cl4 Cl 0.269 0.731 0.500
Cl5 Cl 0.316 0.684 0.142
Cl6 Cl 0.316 0.684 0.858
Cl7 Cl 0.684 0.316 0.142
Cl8 Cl 0.684 0.316 0.858
Cl9 Cl 0.731 0.269 0.500
Cl10 Cl 0.769 0.769 0.000
Cl11 Cl 0.816 0.816 0.358
Cl12 Cl 0.816 0.816 0.642
```

---

| no. | size of the total moment (Bohr magnetons per cell) | VASP energy (eV/atom) |
| --- | --- | --- |
| 1 | 0.0 | -4.221 |
| 2 | 12.0 | -6.682 |
| 3 | 6.0 | -4.735 |